(1)
DFT (PBE-GGA) results for Rb4Pd3Br10 after structural relaxation.

## Properties
Formation energy without anion corrections: -0.99 eV/atom

Cell: 19.338 19.338 19.338 Å, 164.23 164.23 22.37°
Fractional positions:
Rb1 0.068 0.068 0.000
Rb2 0.199 0.199 0.000
Rb3 0.801 0.801 0.000
Rb4 0.932 0.932 0.000
Pd1 0.361 0.361 0.000
Pd2 0.500 0.500 0.000
Pd3 0.639 0.639 0.000
Br1 0.000 0.500 0.500
Br2 0.138 0.638 0.500
Br3 0.292 0.292 0.000
Br4 0.362 0.862 0.500
Br5 0.429 0.429 0.000
Br6 0.500 0.000 0.500
Br7 0.571 0.571 0.000
Br8 0.638 0.138 0.500
Br9 0.708 0.708 0.000
Br10 0.862 0.362 0.500

***

(2)
DFT (PBE-GGA) results for NiIrSe after structural relaxation.

## Properties
Formation energy without anion corrections: 0.32 eV/atom

Cell: 3.838 3.838 3.572 Å, 90.00 90.00 120.00°
Fractional positions:
Ni1 0.000 0.000 0.000
Ir1 0.333 0.667 0.566
Se1 0.667 0.333 0.279

***

(3)
DFT (PBE-GGA) results for AlRh after structural relaxation.

Cell: 11.940 2.875 5.237 Å, 90.00 106.90 90.00°
Fractional positions:
Al1 0.000 0.000 0.000
Al2 0.170 0.500 0.789
Al3 0.330 0.000 0.211
Al4 0.500 0.500 0.000
Al5 0.670 0.000 0.789
Al6 0.830 0.500 0.211
Rh1 0.000 0.000 0.500
Rh2 0.166 0.500 0.280
Rh3 0.334 0.000 0.720
Rh4 0.500 0.500 0.500
Rh5 0.666 0.000 0.280
Rh6 0.834 0.500 0.720

***

(4)
DFT (PBE-GGA) results for Be2CuHg after structural relaxation.

Cell: 2.733 3.812 5.083 Å, 90.00 105.40 90.00°
Fractional positions:
Be1 0.000 0.000 0.000
Be2 0.112 0.500 0.239
Cu1 0.685 0.000 0.379
Hg1 0.381 0.500 0.759

***

(5)
DFT (PBE-GGA) results for TiTl after structural relaxation.

Cell: 10.779 10.779 3.183 Å, 90.00 90.00 90.00°
Fractional positions:
Ti1 0.074 0.627 0.000
Ti2 0.127 0.426 0.500
Ti3 0.373 0.074 0.000
Ti4 0.426 0.873 0.500
Ti5 0.574 0.127 0.500
Ti6 0.627 0.926 0.000
Ti7 0.873 0.574 0.500
Ti8 0.926 0.373 0.000
Tl1 0.112 0.175 0.000
Tl2 0.175 0.888 0.000
Tl3 0.325 0.612 0.500
Tl4 0.388 0.325 0.500
Tl5 0.612 0.675 0.500
Tl6 0.675 0.388 0.500
Tl7 0.825 0.112 0.000
Tl8 0.888 0.825 0.000

***

(6)
DFT (PBE-GGA) results for ZnCrTe2 after structural relaxation.

## Properties
Formation energy without anion corrections: 0.23 eV/atom

Cell: 3.973 6.632 7.825 Å, 90.00 90.00 90.00°
Fractional positions:
Zn1 0.000 0.000 0.000
Zn2 0.500 0.500 0.500
Cr1 0.000 0.000 0.500
Cr2 0.500 0.500 0.000
Te1 0.000 0.500 0.243
Te2 0.000 0.500 0.757
Te3 0.500 0.000 0.257
Te4 0.500 0.000 0.743

***

(7)
DFT (PBE-GGA) results for Sr2ReAs after structural relaxation.

Cell: 2.991 5.648 6.283 Å, 90.00 90.00 90.00°
Fractional positions:
Sr1 0.000 0.000 0.000
Sr2 0.500 0.500 0.499
Re1 0.500 0.500 0.999
As1 0.000 0.000 0.500

***

(8)
DFT (PBE-GGA) results for Ti2SiNi2 after structural relaxation.

## Properties
Formation energy without anion corrections: -0.51 eV/atom

Cell: 6.540 6.540 3.161 Å, 90.00 90.00 90.00°
Fractional positions:
Ti1 0.173 0.327 0.000
Ti2 0.327 0.827 0.000
Ti3 0.673 0.173 0.000
Ti4 0.827 0.673 0.000
Si1 0.000 0.000 0.500
Si2 0.500 0.500 0.500
Ni1 0.130 0.630 0.500
Ni2 0.370 0.130 0.500
Ni3 0.630 0.870 0.500
Ni4 0.870 0.370 0.500

***

(9)
DFT (PBE-GGA) results for Pm3Ga2Co after structural relaxation.

Cell: 8.475 8.475 7.291 Å, 90.00 90.00 34.38°
Fractional positions:
Pm1 0.001 0.999 0.750
Pm2 0.360 0.360 0.000
Pm3 0.360 0.360 0.500
Pm4 0.640 0.640 0.000
Pm5 0.640 0.640 0.500
Pm6 0.999 0.001 0.250
Ga1 0.196 0.197 0.250
Ga2 0.197 0.196 0.750
Ga3 0.803 0.804 0.250
Ga4 0.804 0.803 0.750
Co1 0.499 0.501 0.250
Co2 0.501 0.499 0.750

***

(10)
DFT (PBE-GGA) results for Na2PmTiTe4 after structural relaxation.

## Properties
Formation energy without anion corrections: -1.01 eV/atom

Cell: 7.477 4.289 7.995 Å, 90.00 108.02 90.00°
Fractional positions:
Na1 0.000 0.000 0.000
Na2 0.500 0.500 0.000
Pm1 0.000 0.500 0.500
Ti1 0.500 0.000 0.500
Te1 0.267 0.000 0.732
Te2 0.283 0.500 0.283
Te3 0.717 0.500 0.717
Te4 0.733 0.000 0.268

***

(11)
DFT (PBE-GGA) results for Ga2Fe6Co after structural relaxation.

Cell: 6.981 6.981 2.847 Å, 95.43 95.43 126.34°
Fractional positions:
Ga1 0.160 0.840 0.000
Ga2 0.840 0.160 0.000
Fe1 0.179 0.503 0.672
Fe2 0.331 0.331 0.167
Fe3 0.497 0.821 0.328
Fe4 0.503 0.179 0.672
Fe5 0.669 0.669 0.833
Fe6 0.821 0.497 0.328
Co1 0.000 0.000 0.500

***

(12)
DFT (PBE-GGA) results for Sb2IrSe after structural relaxation.

## Properties
Formation energy without anion corrections: 0.13 eV/atom

Cell: 3.640 4.461 11.663 Å, 90.00 90.00 90.00°
Fractional positions:
Sb1 0.000 0.000 0.000
Sb2 0.000 0.500 0.177
Sb3 0.500 0.000 0.677
Sb4 0.500 0.500 0.500
Ir1 0.000 0.000 0.498
Ir2 0.500 0.500 0.998
Se1 0.000 0.500 0.835
Se2 0.500 0.000 0.335

***

| no. | DFT total energy (Ry per atom) | spin magnetization (μB per formula unit) |
| --- | --- | --- |
| 1 | -0.2293 | 0.0 |
| 2 | -0.4206 | 0.0 |
| 3 | -0.4626 | 0.0 |
| 4 | -0.1954 | 0.0 |
| 5 | -0.3629 | 0.0 |
| 6 | -0.2991 | 3.8 |
| 7 | -0.3270 | 1.3 |
| 8 | -0.5191 | 0.0 |
| 9 | -0.3562 | 0.0 |
| 10 | -0.3299 | 1.0 |
| 11 | -0.5250 | 14.8 |
| 12 | -0.3688 | 0.0 |